No. 1
Entry from OQMD via LeMat-Bulk: an optimized crystal structure of MgAgTeO (PBE).

Cell lengths 4.1260, 4.1260, 10.5530 Å; angles 90.00, 90.00, 90.00 degrees
Positions (direct):
Ag 0.2500 0.2500 0.2881
Ag 0.7500 0.7500 0.7119
Mg 0.7500 0.7500 0.0910
Mg 0.2500 0.2500 0.9090
O 0.2500 0.2500 0.0863
O 0.7500 0.7500 0.9137
Te 0.7500 0.2500 0.5000
Te 0.2500 0.7500 0.5000

SG: P4/nmm, No. 129
energy relative to the lowest polymorph listed for this composition: 17.18 kcal/mol of atoms

No. 2
Entry from OQMD via LeMat-Bulk: an optimized crystal structure of ReBi2Ir (PBE).

Cell lengths 4.8974, 4.8974, 4.8974 Å; angles 60.00, 60.00, 60.00 degrees
Positions (direct):
Bi 0.0000 0.0000 0.0000
Bi 0.2500 0.2500 0.2500
Ir 0.5000 0.5000 0.5000
Re 0.7500 0.7500 0.7500

SG: F-43m, No. 216
energy: -6.2020 eV per atom

No. 3
Entry from OQMD via LeMat-Bulk: an optimized crystal structure of ReNi12 (PBE).

Cell lengths 8.6137, 8.6137, 8.6137 Å; angles 30.84, 30.84, 30.84 degrees
Positions (direct):
Ni 0.5824 0.0888 0.0888
Ni 0.0888 0.5824 0.0888
Ni 0.1653 0.1653 0.1653
Ni 0.3489 0.3489 0.3489
Ni 0.9112 0.9112 0.4176
Ni 0.4539 0.4539 0.4539
Ni 0.5461 0.5461 0.5461
Ni 0.0888 0.0888 0.5824
Ni 0.6511 0.6511 0.6511
Ni 0.8347 0.8347 0.8347
Ni 0.9112 0.4176 0.9112
Ni 0.4176 0.9112 0.9112
Re 0.0000 0.0000 0.0000

SG: R-3m, No. 166
energy: -5.9272 eV per atom

No. 4
Entry from OQMD via LeMat-Bulk: an optimized crystal structure of AlCoW (PBE).

Cell lengths 5.8248, 3.8914, 7.2376 Å; angles 90.00, 90.00, 90.00 degrees
Positions (direct):
Al 0.8537 0.7500 0.0666
Al 0.3537 0.7500 0.4334
Al 0.6463 0.2500 0.5666
Al 0.1463 0.2500 0.9334
Co 0.2744 0.7500 0.1076
Co 0.7744 0.7500 0.3924
Co 0.2256 0.2500 0.6076
Co 0.7256 0.2500 0.8924
W 0.5145 0.2500 0.1779
W 0.0145 0.2500 0.3221
W 0.9855 0.7500 0.6779
W 0.4855 0.7500 0.8221

SG: Pnma, No. 62
energy: -7.9881 eV per atom

No. 5
Entry from OQMD via LeMat-Bulk: an optimized crystal structure of TbGdSi2Au2 (PBE).

Cell lengths 4.3354, 4.3354, 7.7123 Å; angles 90.00, 90.00, 120.00 degrees
Positions (direct):
Au 0.6667 0.3333 0.2656
Au 0.3333 0.6667 0.7660
Gd 0.0000 0.0000 0.5006
Si 0.3333 0.6667 0.2245
Si 0.6667 0.3333 0.7247
Tb 0.0000 0.0000 0.0006

SG: P3m1, No. 156
energy: -5.2704 eV per atom

No. 6
Entry from OQMD via LeMat-Bulk: an optimized crystal structure of LuAsPd (PBE).

Cell lengths 6.9964, 6.9964, 3.9353 Å; angles 90.00, 90.00, 120.00 degrees
Positions (direct):
As 0.6667 0.3333 0.0000
As 0.3333 0.6667 0.0000
As 0.0000 0.0000 0.5000
Lu 0.5946 0.0000 0.5000
Lu 0.4054 0.4054 0.5000
Lu 0.0000 0.5946 0.5000
Pd 0.2638 0.0000 0.0000
Pd 0.0000 0.2638 0.0000
Pd 0.7362 0.7362 0.0000

SG: P-62m, No. 189
energy: -5.9404 eV per atom

No. 7
Entry from OQMD via LeMat-Bulk: an optimized crystal structure of La3LuSe6 (PBE).

Cell lengths 14.7300, 17.7113, 4.1854 Å; angles 90.00, 90.00, 90.00 degrees
Positions (direct):
La 0.5490 0.2184 0.0000
La 0.3194 0.3489 0.0000
La 0.7514 0.3996 0.0000
La 0.2486 0.6004 0.0000
La 0.6806 0.6511 0.0000
La 0.4510 0.7816 0.0000
La 0.2514 0.1004 0.5000
La 0.8194 0.1511 0.5000
La 0.0490 0.2816 0.5000
La 0.9510 0.7184 0.5000
La 0.1806 0.8489 0.5000
La 0.7486 0.8996 0.5000
Lu 0.0000 0.0000 0.0000
Lu 0.0000 0.5000 0.0000
Lu 0.5000 0.0000 0.5000
Lu 0.5000 0.5000 0.5000
Se 0.8126 0.0230 0.0000
Se 0.4089 0.0779 0.0000
Se 0.1863 0.2098 0.0000
Se 0.8961 0.2546 0.0000
Se 0.1252 0.3894 0.0000
Se 0.5234 0.3951 0.0000
Se 0.4766 0.6049 0.0000
Se 0.8748 0.6106 0.0000
Se 0.1039 0.7454 0.0000
Se 0.8137 0.7902 0.0000
Se 0.5911 0.9221 0.0000
Se 0.1874 0.9770 0.0000
Se 0.0234 0.1049 0.5000
Se 0.6252 0.1106 0.5000
Se 0.3961 0.2454 0.5000
Se 0.6863 0.2902 0.5000
Se 0.9089 0.4221 0.5000
Se 0.3126 0.4770 0.5000
Se 0.6874 0.5230 0.5000
Se 0.0911 0.5779 0.5000
Se 0.3137 0.7098 0.5000
Se 0.6039 0.7546 0.5000
Se 0.3748 0.8894 0.5000
Se 0.9766 0.8951 0.5000

SG: Pnnm, No. 58
energy: -6.0292 eV per atom

No. 8
Entry from OQMD via LeMat-Bulk: an optimized crystal structure of Pm2PtI (PBE).

Cell lengths 4.2421, 4.2421, 8.3968 Å; angles 104.63, 90.01, 119.99 degrees
Positions (direct):
I 0.7520 0.2813 0.5515
Pm 0.9817 0.7384 0.2377
Pm 0.5243 0.8238 0.8654
Pt 0.2530 0.2811 0.0516

SG: R-3m, No. 166
energy: -5.3982 eV per atom

No. 9
Entry from OQMD via LeMat-Bulk: an optimized crystal structure of SrZn2Au2 (PBE).

Cell lengths 6.6642, 6.6642, 6.6642 Å; angles 142.22, 142.22, 54.49 degrees
Positions (direct):
Au 0.3807 0.3807 0.0000
Au 0.6193 0.6193 0.0000
Sr 0.0000 0.0000 0.0000
Zn 0.7500 0.2500 0.5000
Zn 0.2500 0.7500 0.5000

SG: I4/mmm, No. 139
energy relative to the lowest polymorph listed for this composition: 0.00 kcal/mol of atoms

No. 10
Entry from OQMD via LeMat-Bulk: an optimized crystal structure of LiLuCuS3 (PBE).

Cell lengths 6.3299, 6.3299, 10.1428 Å; angles 90.00, 90.00, 146.08 degrees
Positions (direct):
Cu 0.5225 0.4775 0.2500
Cu 0.4775 0.5225 0.7500
Li 0.2351 0.7649 0.2500
Li 0.7649 0.2351 0.7500
Lu 0.0000 0.0000 0.0000
Lu 0.0000 0.0000 0.5000
S 0.6427 0.3573 0.0774
S 0.9096 0.0904 0.2500
S 0.6427 0.3573 0.4226
S 0.3573 0.6427 0.5774
S 0.0904 0.9096 0.7500
S 0.3573 0.6427 0.9226

SG: Cmcm, No. 63
energy: -4.9180 eV per atom

No. 11
Entry from OQMD via LeMat-Bulk: an optimized crystal structure of LaPr2NiHg3Au2 (PBE).

Cell lengths 3.9757, 7.9283, 7.9283 Å; angles 120.11, 90.00, 90.00 degrees
Positions (direct):
Au 0.5000 0.6671 0.3332
Au 0.5000 0.3332 0.6671
Hg 0.5000 0.9980 0.2442
Hg 0.5000 0.7567 0.7567
Hg 0.5000 0.2442 0.9980
La 0.0000 0.3934 0.3934
Ni 0.0000 0.0019 0.0019
Pr 0.0000 0.9993 0.6060
Pr 0.0000 0.6060 0.9993

SG: Amm2, No. 38
energy: -3.6264 eV per atom

No. 12
Entry from OQMD via LeMat-Bulk: an optimized crystal structure of GdTmNi2Ge2C (PBE).

Cell lengths 5.7700, 5.7700, 6.8298 Å; angles 125.60, 125.60, 39.94 degrees
Positions (direct):
C 0.0027 0.0027 0.9967
Gd 0.4393 0.4393 0.1706
Ge 0.8414 0.8414 0.3836
Ge 0.1574 0.1574 0.6181
Ni 0.1964 0.1964 0.2996
Ni 0.8044 0.8044 0.7022
Tm 0.5585 0.5585 0.8292

SG: Cm, No. 8
energy: -6.1020 eV per atom